KNaMoPb2 | PBE-GGA | relaxed

The structure in CIF format:
```
data_KNaMoPb2
_symmetry_space_group_name_H-M 'P 4/m m m'
_symmetry_Int_Tables_number 123
_symmetry_space_group_name_Hall '-P 4 2'
_cell_length_a 5.558
_cell_length_b 5.558
_cell_length_c 5.367
_cell_angle_alpha 90.00
_cell_angle_beta 90.00
_cell_angle_gamma 90.00
loop_
_atom_site_label
_atom_site_fract_x
_atom_site_fract_y
_atom_site_fract_z
K1 0.000 0.000 0.000
Na1 0.000 0.000 0.500
Mo1 0.500 0.500 0.000
Pb1 0.000 0.500 0.500
```

Crystal system: tetragonal
ΔH_f (0 K) in eV per atom: 1.1559



K2Na3MoS6 | PBE-GGA | relaxed

The structure in CIF format:
```
data_K2Na3MoS6
_symmetry_space_group_name_H-M 'C 1 2/m 1'
_symmetry_Int_Tables_number 12
_symmetry_space_group_name_Hall '-C 2y'
_cell_length_a 7.954
_cell_length_b 12.963
_cell_length_c 6.140
_cell_angle_alpha 90.00
_cell_angle_beta 118.03
_cell_angle_gamma 90.00
loop_
_atom_site_label
_atom_site_fract_x
_atom_site_fract_y
_atom_site_fract_z
K1 0.000 0.161 0.000
Na1 0.000 0.000 0.500
Na2 0.000 0.296 0.500
Mo1 0.000 0.500 0.000
S1 0.114 0.500 0.683
S2 0.224 0.364 0.235
```

Crystal system: monoclinic
Formation energy without anion corrections in meV/atom: -778.0



KNaMoS4 | PBE-GGA | relaxed

The structure in CIF format:
```
data_KNaMoS4
_symmetry_space_group_name_H-M 'P 1 21/m 1'
_symmetry_Int_Tables_number 11
_symmetry_space_group_name_Hall '-P 2yb'
_cell_length_a 6.741
_cell_length_b 6.963
_cell_length_c 8.787
_cell_angle_alpha 90.00
_cell_angle_beta 107.61
_cell_angle_gamma 90.00
loop_
_atom_site_label
_atom_site_fract_x
_atom_site_fract_y
_atom_site_fract_z
K1 0.226 0.250 0.430
Na1 0.272 0.250 0.952
Mo1 0.286 0.750 0.186
S1 0.086 0.750 0.345
S2 0.101 0.750 0.934
S3 0.494 0.002 0.235
```

Crystal system: monoclinic
Formation energy without anion corrections in meV/atom: -873.5



K3Na2MoSe6 | PBE-GGA | relaxed

The structure in CIF format:
```
data_K3Na2MoSe6
_symmetry_space_group_name_H-M 'C 1 2/m 1'
_symmetry_Int_Tables_number 12
_symmetry_space_group_name_Hall '-C 2y'
_cell_length_a 7.349
_cell_length_b 12.652
_cell_length_c 7.797
_cell_angle_alpha 90.00
_cell_angle_beta 108.20
_cell_angle_gamma 90.00
loop_
_atom_site_label
_atom_site_fract_x
_atom_site_fract_y
_atom_site_fract_z
K1 0.000 0.000 0.000
K2 0.000 0.321 0.000
Na1 0.000 0.166 0.500
Mo1 0.000 0.500 0.500
Se1 0.211 0.355 0.696
Se2 0.214 0.500 0.300
```

Crystal system: monoclinic
Formation energy without anion corrections in meV/atom: -699.9



K2Na3MoSe6 | PBE-GGA | relaxed

The structure in CIF format:
```
data_K2Na3MoSe6
_symmetry_space_group_name_H-M 'C 1 2/m 1'
_symmetry_Int_Tables_number 12
_symmetry_space_group_name_Hall '-C 2y'
_cell_length_a 8.282
_cell_length_b 13.527
_cell_length_c 6.505
_cell_angle_alpha 90.00
_cell_angle_beta 117.56
_cell_angle_gamma 90.00
loop_
_atom_site_label
_atom_site_fract_x
_atom_site_fract_y
_atom_site_fract_z
K1 0.000 0.162 0.000
Na1 0.000 0.000 0.500
Na2 0.000 0.297 0.500
Mo1 0.000 0.500 0.000
Se1 0.126 0.500 0.697
Se2 0.225 0.363 0.236
```

Crystal system: monoclinic
Formation energy without anion corrections in meV/atom: -719.6



KNaSi2Mo | PBE-GGA | relaxed

The structure in CIF format:
```
data_KNaSi2Mo
_symmetry_space_group_name_H-M 'P 4/m m m'
_symmetry_Int_Tables_number 123
_symmetry_space_group_name_Hall '-P 4 2'
_cell_length_a 5.564
_cell_length_b 5.564
_cell_length_c 5.498
_cell_angle_alpha 90.00
_cell_angle_beta 90.00
_cell_angle_gamma 90.00
loop_
_atom_site_label
_atom_site_fract_x
_atom_site_fract_y
_atom_site_fract_z
K1 0.000 0.000 0.000
Na1 0.500 0.500 0.500
Si1 0.000 0.500 0.000
Mo1 0.000 0.000 0.500
```

Crystal system: tetragonal
Formation energy without anion corrections in meV/atom: 2152.1



KNbMo2 | PBE-GGA | relaxed

The structure in CIF format:
```
data_KNbMo2
_symmetry_space_group_name_H-M 'I -4 2 d'
_symmetry_Int_Tables_number 122
_symmetry_space_group_name_Hall 'I -4 2bw'
_cell_length_a 4.784
_cell_length_b 4.784
_cell_length_c 18.317
_cell_angle_alpha 90.00
_cell_angle_beta 90.00
_cell_angle_gamma 90.00
loop_
_atom_site_label
_atom_site_fract_x
_atom_site_fract_y
_atom_site_fract_z
K1 0.000 0.000 0.000
Nb1 0.000 0.000 0.500
Mo1 0.080 0.250 0.625
```

Crystal system: tetragonal
Energy above the lowest structure with this stoichiometry in eV per formula unit: 1.003
ΔH_f (0 K) in eV per atom: 1.7787



KNbMo3 | PBE-GGA | relaxed

The structure in CIF format:
```
data_KNbMo3
_symmetry_space_group_name_H-M 'P m -3 m'
_symmetry_Int_Tables_number 221
_symmetry_space_group_name_Hall '-P 4 2 3'
_cell_length_a 4.913
_cell_length_b 4.913
_cell_length_c 4.913
_cell_angle_alpha 90.00
_cell_angle_beta 90.00
_cell_angle_gamma 90.00
loop_
_atom_site_label
_atom_site_fract_x
_atom_site_fract_y
_atom_site_fract_z
K1 0.000 0.000 0.000
Nb1 0.500 0.500 0.500
Mo1 0.000 0.500 0.500
```

Crystal system: cubic
Energy above the lowest structure with this stoichiometry in eV per formula unit: 0.000
ΔH_f (0 K) in eV per atom: 1.9169



KNbMo2 | PBE-GGA | relaxed

The structure in CIF format:
```
data_KNbMo2
_symmetry_space_group_name_H-M 'F m -3 m'
_symmetry_Int_Tables_number 225
_symmetry_space_group_name_Hall '-F 4 2 3'
_cell_length_a 6.727
_cell_length_b 6.727
_cell_length_c 6.727
_cell_angle_alpha 90.00
_cell_angle_beta 90.00
_cell_angle_gamma 90.00
loop_
_atom_site_label
_atom_site_fract_x
_atom_site_fract_y
_atom_site_fract_z
K1 0.000 0.000 0.000
Nb1 0.000 0.000 0.500
Mo1 0.250 0.250 0.250
```

Crystal system: cubic
Energy above the lowest structure with this stoichiometry in eV per formula unit: 0.000
ΔH_f (0 K) in eV per atom: 1.5279



KNb3Mo | PBE-GGA | relaxed

The structure in CIF format:
```
data_KNb3Mo
_symmetry_space_group_name_H-M 'P m -3 m'
_symmetry_Int_Tables_number 221
_symmetry_space_group_name_Hall '-P 4 2 3'
_cell_length_a 5.001
_cell_length_b 5.001
_cell_length_c 5.001
_cell_angle_alpha 90.00
_cell_angle_beta 90.00
_cell_angle_gamma 90.00
loop_
_atom_site_label
_atom_site_fract_x
_atom_site_fract_y
_atom_site_fract_z
K1 0.000 0.000 0.000
Nb1 0.000 0.500 0.500
Mo1 0.500 0.500 0.500
```

Crystal system: cubic
Energy above the lowest structure with this stoichiometry in eV per formula unit: 0.000
ΔH_f (0 K) in eV per atom: 1.3711



KNb3Mo | PBE-GGA | relaxed

The structure in CIF format:
```
data_KNb3Mo
_symmetry_space_group_name_H-M 'P m -3 m'
_symmetry_Int_Tables_number 221
_symmetry_space_group_name_Hall '-P 4 2 3'
_cell_length_a 4.589
_cell_length_b 4.589
_cell_length_c 4.589
_cell_angle_alpha 90.00
_cell_angle_beta 90.00
_cell_angle_gamma 90.00
loop_
_atom_site_label
_atom_site_fract_x
_atom_site_fract_y
_atom_site_fract_z
K1 0.000 0.000 0.000
Nb1 0.000 0.000 0.500
Mo1 0.500 0.500 0.500
```

Crystal system: cubic
Energy above the lowest structure with this stoichiometry in eV per formula unit: 6.933
ΔH_f (0 K) in eV per atom: 2.7576



| no. | E (hartree per atom) |
| --- | --- |
| 1 | -0.1094 |
| 2 | -0.1564 |
| 3 | -0.1883 |
| 4 | -0.1411 |
| 5 | -0.1425 |
| 6 | -0.0980 |
| 7 | -0.2363 |
| 8 | -0.2505 |
| 9 | -0.2455 |
| 10 | -0.2593 |
| 11 | -0.2084 |